V5As3C | Alexandria | GGA-PBE | optimized geometry; DFT formation energy = -441 meV per atom; total magnetic moment = 0.002 μB per cell
1.0
-2.931 4.045 5.108
4.086 -5.586 1.772
4.250 3.103 -0.019
V As C
10 6 2
direct
0.667 0.333 0.500 V
0.333 0.667 0.500 V
0.333 0.667 0.000 V
0.667 0.333 0.000 V
0.776 0.776 0.250 V
0.224 0.000 0.250 V
0.000 0.224 0.250 V
0.224 0.224 0.750 V
0.776 0.000 0.750 V
0.000 0.776 0.750 V
0.403 0.403 0.250 As
0.597 0.000 0.250 As
0.000 0.597 0.250 As
0.597 0.597 0.750 As
0.403 0.000 0.750 As
0.000 0.403 0.750 As
0.000 0.000 0.500 C
0.000 0.000 0.000 C